[1]
VASP calculation (PBE-GGA) on Pm3BCl2 after structural relaxation.

Calculated values
ΔE_f (raw) in kJ/mol of formula units: -648

a b c (Å): 6.864 6.864 7.369
angles (deg): 98.92 98.92 120.06
Atoms (fractional coordinates):
Pm (0.075, 0.431, 0.795)
Pm (0.211, 0.211, 0.205)
Pm (0.431, 0.075, 0.795)
Pm (0.569, 0.925, 0.205)
Pm (0.789, 0.789, 0.795)
Pm (0.925, 0.569, 0.205)
B (0.166, 0.834, 0.000)
B (0.834, 0.166, 0.000)
Cl (0.000, 0.000, 0.500)
Cl (0.332, 0.668, 0.500)
Cl (0.500, 0.500, 0.000)
Cl (0.668, 0.332, 0.500)

***

[2]
VASP calculation (PBE-GGA) on Pm4BCl5 after structural relaxation.

Calculated values
ΔE_f (raw) in kJ/mol of formula units: -1608

a b c (Å): 9.133 9.133 8.119
angles (deg): 103.98 103.98 25.02
Atoms (fractional coordinates):
Pm (0.001, 0.001, 0.279)
Pm (0.351, 0.351, 0.412)
Pm (0.649, 0.649, 0.588)
Pm (0.999, 0.999, 0.721)
B (0.500, 0.500, 0.500)
Cl (0.164, 0.164, 0.838)
Cl (0.170, 0.170, 0.349)
Cl (0.500, 0.500, 0.000)
Cl (0.830, 0.830, 0.651)
Cl (0.836, 0.836, 0.162)

***

[3]
VASP calculation (PBE-GGA) on Pm2BCl after structural relaxation.

Calculated values
ΔE_f (raw) in kJ/mol of formula units: -333

a b c (Å): 3.952 3.952 20.778
angles (deg): 90.00 90.00 120.00
Atoms (fractional coordinates):
Pm (0.000, 0.000, 0.235)
Pm (0.000, 0.000, 0.765)
Pm (0.333, 0.667, 0.432)
Pm (0.333, 0.667, 0.901)
Pm (0.667, 0.333, 0.099)
Pm (0.667, 0.333, 0.568)
B (0.000, 0.000, 0.500)
B (0.333, 0.667, 0.167)
B (0.667, 0.333, 0.833)
Cl (0.000, 0.000, 0.000)
Cl (0.333, 0.667, 0.667)
Cl (0.667, 0.333, 0.333)

***

[4]
VASP calculation (PBE-GGA) on Pm4BSCl2 after structural relaxation.

Calculated values
ΔE_f (raw) in kJ/mol of formula units: -1058

a b c (Å): 6.978 3.971 7.283
angles (deg): 90.00 108.41 90.00
Atoms (fractional coordinates):
Pm (0.216, 0.000, 0.205)
Pm (0.242, 0.500, 0.792)
Pm (0.758, 0.500, 0.208)
Pm (0.784, 0.000, 0.795)
B (0.000, 0.500, 0.000)
S (0.500, 0.000, 0.000)
Cl (0.000, 0.000, 0.500)
Cl (0.500, 0.500, 0.500)

***

[5]
VASP calculation (PBE-GGA) on Pm4BS2Cl after structural relaxation.

Calculated values
ΔE_f (raw) in kJ/mol of formula units: -1120

a b c (Å): 6.891 3.987 7.113
angles (deg): 90.00 108.71 90.00
Atoms (fractional coordinates):
Pm (0.232, 0.000, 0.223)
Pm (0.251, 0.500, 0.780)
Pm (0.749, 0.500, 0.220)
Pm (0.768, 0.000, 0.777)
B (0.000, 0.500, 0.000)
S (0.500, 0.000, 0.000)
S (0.500, 0.500, 0.500)
Cl (0.000, 0.000, 0.500)

***

[6]
VASP calculation (PBE-GGA) on Pr7BCl12 after structural relaxation.

Calculated values
ΔE_f (raw) in kJ/mol of formula units: -3660

a b c (Å): 9.076 9.076 9.076
angles (deg): 107.46 107.46 107.46
Atoms (fractional coordinates):
Pr (0.000, 0.000, 0.000)
Pr (0.179, 0.387, 0.469)
Pr (0.387, 0.469, 0.179)
Pr (0.469, 0.179, 0.387)
Pr (0.531, 0.821, 0.613)
Pr (0.613, 0.531, 0.821)
Pr (0.821, 0.613, 0.531)
B (0.500, 0.500, 0.500)
Cl (0.030, 0.339, 0.116)
Cl (0.116, 0.030, 0.339)
Cl (0.190, 0.721, 0.579)
Cl (0.279, 0.421, 0.810)
Cl (0.339, 0.116, 0.030)
Cl (0.421, 0.810, 0.279)
Cl (0.579, 0.190, 0.721)
Cl (0.661, 0.884, 0.970)
Cl (0.721, 0.579, 0.190)
Cl (0.810, 0.279, 0.421)
Cl (0.884, 0.970, 0.661)
Cl (0.970, 0.661, 0.884)

***

Number 1: electronic total energy -5.22 eV per atom, spin magnetization 0.00 μB/f.u., ρ 6.0 Mg/m³. Number 2: electronic total energy -5.16 eV per atom, spin magnetization 0.00 μB/f.u., ρ 4.6 Mg/m³. Number 3: electronic total energy -5.37 eV per atom, spin magnetization 0.00 μB/f.u., ρ 6.0 Mg/m³. Number 4: electronic total energy -5.56 eV per atom, spin magnetization 0.00 μB/f.u., ρ 6.0 Mg/m³. Number 5: electronic total energy -5.92 eV per atom, spin magnetization 0.00 μB/f.u., ρ 6.2 Mg/m³. Number 6: electronic total energy -5.01 eV per atom, spin magnetization 0.00 μB/f.u., ρ 3.8 Mg/m³.